# Hf2TlMoF (GGA+U, relaxed)
data_Hf2TlMoF
_cell_length_a 5.407
_cell_length_b 5.479
_cell_length_c 5.407
_cell_angle_alpha 90.00
_cell_angle_beta 90.00
_cell_angle_gamma 90.00
_symmetry_space_group_name_H-M 'P 1'
_symmetry_Int_Tables_number 1
loop_
_symmetry_equiv_pos_as_xyz
'x,y,z'
loop_
_atom_site_label
_atom_site_type_symbol
_atom_site_fract_x
_atom_site_fract_y
_atom_site_fract_z
Mo1 Mo 0.000 0.500 0.000
Hf1 Hf 0.500 0.000 0.000
Hf2 Hf 0.000 0.000 0.500
Tl1 Tl 0.000 0.000 0.000
F1 F 0.500 0.500 0.500
# space-group type: No. 123
# energy: -4.792 eV per atom